Here is an optimized crystal structure of KCoRu from Alexandria. Energies are from PBE-GGA.

The energy above the most stable polymorph in this dataset is 218 meV per atom. Its density of states at the Fermi level is 2.53 states/eV/f.u. The calculation puts the density at 4.5 Mg/m³.

The space group is Cm (No. 8) and the conventional cell measures 9.965, 3.927 and 8.694 Å, with angles of 90.00, 119.91 and 90.00 degrees. The inequivalent atoms are K at (0.000, 0.000, 0.000), K at (0.127, 0.000, 0.692), Co at (0.202, 0.500, 0.376), Co at (0.316, 0.000, 0.482), Ru at (0.306, 0.500, 0.195) and Ru at (0.446, 0.000, 0.324).

---

Here is an optimized crystal structure of KCoRu from Alexandria. Energies are from PBE-GGA.

The energy above the most stable polymorph in this dataset is 14 meV per atom. Its density of states at the Fermi level is 3.24 states/eV/f.u. The calculation puts the density at 4.9 Mg/m³.

The space group is Pm (No. 6) and the conventional cell measures 2.735, 4.000 and 12.317 Å, with angles of 90.00, 94.52 and 90.00 degrees. The inequivalent atoms are K at (0.000, 0.000, 0.000), K at (0.230, 0.500, 0.642), Co at (0.099, 0.000, 0.262), Co at (0.140, 0.500, 0.380), Ru at (0.579, 0.500, 0.207) and Ru at (0.660, 0.000, 0.435).

---

Here is an optimized crystal structure of KCoRu2 from Alexandria. Energies are from PBE-GGA.

The energy above the most stable polymorph in this dataset is 44 meV per atom. Its density of states at the Fermi level is 5.95 states/eV/f.u. The calculation puts the density at 7.3 Mg/m³.

The space group is P4mm (No. 99) and the conventional cell measures 2.767, 2.767 and 8.895 Å, with angles of 90.00, 90.00 and 90.00 degrees. The inequivalent atoms are K at (0.000, 0.000, 0.000), Co at (0.500, 0.500, 0.696), Ru at (0.000, 0.000, 0.522) and Ru at (0.500, 0.500, 0.321).

---

Here is an optimized crystal structure of KCoRu2 from Alexandria. Energies are from PBE-GGA.

The energy above the most stable polymorph in this dataset is 895 meV per atom. Its density of states at the Fermi level is 13.72 states/eV/f.u. The calculation puts the density at 8.0 Mg/m³.

The space group is Fm-3m (No. 225) and the conventional cell measures 6.282, 6.282 and 6.282 Å, with angles of 90.00, 90.00 and 90.00 degrees. The inequivalent atoms are K at (0.000, 0.000, 0.000), Co at (0.000, 0.000, 0.500) and Ru at (0.250, 0.250, 0.250).

---

Here is an optimized crystal structure of KCoRu from Alexandria. Energies are from PBE-GGA.

The energy above the most stable polymorph in this dataset is 405 meV per atom. Its density of states at the Fermi level is 3.23 states/eV/f.u. The calculation puts the density at 6.3 Mg/m³.

The space group is P3m1 (No. 156) and the conventional cell measures 2.8062, 2.8062 and 7.7127 Å, with angles of 90.00, 90.00 and 120.00 degrees. The inequivalent atoms are K at (0.0000, 0.0000, 0.0000), Co at (0.3333, 0.6667, 0.6242) and Ru at (0.6667, 0.3333, 0.3777).

---

Here is an optimized crystal structure of KCoRu2 from Alexandria. Energies are from PBE-GGA.

The energy above the most stable polymorph in this dataset is 462 meV per atom. Its density of states at the Fermi level is 6.99 states/eV/f.u. The calculation puts the density at 7.0 Mg/m³.

The space group is Imm2 (No. 44) and the conventional cell measures 2.660, 5.261 and 10.143 Å, with angles of 90.00, 90.00 and 90.00 degrees. The inequivalent atoms are K at (0.000, 0.000, 0.000), Co at (0.000, 0.500, 0.217), Ru at (0.000, 0.000, 0.508) and Ru at (0.000, 0.500, 0.794).